This record from the Alexandria database describes an optimized crystal structure of YTcOF2. The functional is PBE.

Values from the calculation:
- size of the total moment (μB/f.u.) = 0.544
- calculated volume (Å³/cell) = 74.74
- E above lowest polymorph (meV per atom) = 371

a = 4.432 Å, b = 4.432 Å, c = 3.805 Å
α = 90.00°, β = 90.00°, γ = 90.00°
Positions (direct):
Y 0.000 0.000 0.000
Tc 0.500 0.500 0.500
O 0.500 0.500 0.000
F 0.000 0.500 0.500
F 0.500 0.000 0.500